# Sr3Tl2Au4 (PBE, relaxed)
# Energy of formation in eV per atom: -0.595
# Total DFT energy (no corrections) in eV/atom: -3.138
# N(E_F) in states/eV/f.u.: 4.8
# Total moment in μB per cell: 0.0
# Calculated volume in Å³ per atom: 28.00
data_Sr3Tl2Au4
_symmetry_space_group_name_H-M 'P 1'
_symmetry_Int_Tables_number 1
_cell_length_a 6.588
_cell_length_b 6.588
_cell_length_c 9.640
_cell_angle_alpha 113.53
_cell_angle_beta 113.53
_cell_angle_gamma 41.78
loop_
_symmetry_equiv_pos_as_xyz
'x,y,z'
loop_
_atom_site_label
_atom_site_fract_x
_atom_site_fract_y
_atom_site_fract_z
_atom_site_occupancy
Sr1 0.000 0.000 0.000 1
Sr2 0.363 0.363 0.304 1
Sr3 0.637 0.637 0.696 1
Tl1 0.340 0.340 0.674 1
Tl2 0.660 0.660 0.326 1
Au1 0.075 0.075 0.421 1
Au2 0.282 0.282 0.941 1
Au3 0.718 0.718 0.059 1
Au4 0.925 0.925 0.579 1

---

# Sc2ZnCo (PBE, relaxed)
# Energy of formation in eV per atom: -0.133
# Total DFT energy (no corrections) in eV/atom: -5.393
# N(E_F) in states/eV/f.u.: 2.7
# Total moment in μB per cell: 0.0
# Calculated volume in Å³ per atom: 16.72
data_Sc2ZnCo
_symmetry_space_group_name_H-M 'P 1'
_symmetry_Int_Tables_number 1
_cell_length_a 5.058
_cell_length_b 5.058
_cell_length_c 5.058
_cell_angle_alpha 133.52
_cell_angle_beta 133.52
_cell_angle_gamma 67.84
loop_
_symmetry_equiv_pos_as_xyz
'x,y,z'
loop_
_atom_site_label
_atom_site_fract_x
_atom_site_fract_y
_atom_site_fract_z
_atom_site_occupancy
Sc1 0.000 0.000 0.000 1
Sc2 0.750 0.250 0.500 1
Zn1 0.250 0.750 0.500 1
Co1 0.500 0.500 0.000 1

---

# Tb3Te2O2 (PBE, relaxed)
# Total DFT energy (no corrections) in eV/atom: -6.403
# N(E_F) in states/eV/f.u.: 3.1
# E_form (uncorrected) in eV/atom: -2.1039
# Total moment in μB per cell: 0.0
# Calculated volume in Å³ per atom: 22.70
data_Tb3Te2O2
_symmetry_space_group_name_H-M 'P 1'
_symmetry_Int_Tables_number 1
_cell_length_a 3.697
_cell_length_b 5.871
_cell_length_c 7.878
_cell_angle_alpha 101.22
_cell_angle_beta 90.24
_cell_angle_gamma 108.19
loop_
_symmetry_equiv_pos_as_xyz
'x,y,z'
loop_
_atom_site_label
_atom_site_fract_x
_atom_site_fract_y
_atom_site_fract_z
_atom_site_occupancy
Tb1 0.000 0.000 0.000 1
Tb2 0.218 0.438 0.792 1
Tb3 0.782 0.562 0.208 1
Te1 0.116 0.224 0.370 1
Te2 0.884 0.776 0.630 1
O1 0.363 0.725 0.046 1
O2 0.637 0.275 0.954 1

---

# Mg6ZrSb (PBE, relaxed)
# Total DFT energy (no corrections) in eV/atom: -2.883
# N(E_F) in states/eV/f.u.: 2.9
# E_form (uncorrected) in eV/atom: -0.1033
# Total moment in μB per cell: 0.0
# Offset from the most stable computed form in eV/atom: 0.000
# Calculated volume in Å³ per atom: 22.65
data_Mg6ZrSb
_symmetry_space_group_name_H-M 'P 1'
_symmetry_Int_Tables_number 1
_cell_length_a 4.656
_cell_length_b 6.325
_cell_length_c 6.325
_cell_angle_alpha 76.53
_cell_angle_beta 90.00
_cell_angle_gamma 90.00
loop_
_symmetry_equiv_pos_as_xyz
'x,y,z'
loop_
_atom_site_label
_atom_site_fract_x
_atom_site_fract_y
_atom_site_fract_z
_atom_site_occupancy
Mg1 0.000 0.000 0.000 1
Mg2 0.000 0.496 0.933 1
Mg3 0.000 0.933 0.496 1
Mg4 0.500 0.276 0.729 1
Mg5 0.500 0.729 0.276 1
Mg6 0.500 0.787 0.787 1
Zr1 0.500 0.225 0.225 1
Sb1 0.000 0.429 0.429 1